(1)
RhSeO3 | meta-GGA SCAN | single point on PBEsol structure

Cell lengths 3.8635, 3.8635, 3.8635 Å; angles 90.00, 90.00, 90.00 degrees
Fractional coordinates of all 5 atoms:
Rh1 0.0000 0.0000 0.0000
Se1 0.5000 0.5000 0.5000
O1 0.0000 0.5000 0.5000
O2 0.5000 0.0000 0.5000
O3 0.5000 0.5000 0.0000

crystal system = cubic
final energy = -71.8 eV for the cell shown
Fermi-level density of states = 1.92 states/eV/cell
space-group type = Pm-3m (221)

---

(2)
SiRh2O | meta-GGA SCAN | single point on PBEsol structure

Cell lengths 4.0204, 4.0204, 4.0204 Å; angles 60.00, 60.00, 60.00 degrees
Fractional coordinates of all 4 atoms:
Si1 0.0000 0.0000 0.0000
Rh1 0.2500 0.2500 0.2500
Rh2 0.7500 0.7500 0.7500
O1 0.5000 0.5000 0.5000

crystal system = cubic
final energy = -84.8 eV for the cell shown
Fermi-level density of states = 3.69 states/eV/cell
space-group type = Fm-3m (225)